Compound: Pr3In4Ag4
Source: Alexandria
Functional: PBE
Structure: optimized geometry

energy above the most stable polymorph in this dataset: 0 kJ/mol of formula units
raw total energy: -3.69 eV/atom
volume: 25.11 Å³ per atom
total moment: 0.00 μB per formula unit
space-group type: Immm, No. 71
E_form: -8.1 kcal/mol of atoms

Cell lengths 15.289, 15.289, 15.289 Å; angles 165.97, 161.41, 23.37 degrees
Element x y z (fractional)
1 Pr 0.000 0.000 0.000
2 Pr 0.356 0.856 0.500
3 Pr 0.644 0.144 0.500
4 In 0.189 0.689 0.500
5 In 0.451 0.451 0.000
6 In 0.549 0.549 0.000
7 In 0.811 0.311 0.500
8 Ag 0.094 0.594 0.500
9 Ag 0.262 0.262 0.000
10 Ag 0.738 0.738 0.000
11 Ag 0.906 0.406 0.500